## Zn2InW (PBE)

Data for a relaxed Zn2InW crystal.

The structure in POSCAR format:
```
Zn2InW
1.0
3.4556 0.0000 0.0000
0.0000 3.4556 0.0000
0.0000 0.0000 5.8052
Zn In W
2 1 1
Direct
0.0000 0.0000 0.2155 Zn
0.0000 0.0000 0.7845 Zn
0.5000 0.5000 0.5000 In
0.5000 0.5000 0.0000 W
```

Its energy relative to the elements is 0.50 eV/atom.